(1)
# Nd2Sm4Dy2Y

Crystalline Nd2Sm4Dy2Y at its relaxed geometry (PBE, the Alexandria database).

The structure belongs to space group C2/m (No. 12); the cell edges are 18.9231, 3.6518 and 9.6984 Å and the angles 90.00°, 115.71° and 90.00°. The asymmetric unit holds Nd at (0.1661, 0.0000, 0.4983), Sm at (0.0189, 0.0000, 0.8356), Sm at (0.1859, 0.5000, 0.8342), Dy at (0.1477, 0.5000, 0.1662) and Y at (0.0000, 0.5000, 0.5000).

The formation energy from the elements is 0.005 eV/atom.

(2)
# MgNiP2S

Crystalline MgNiP2S at its relaxed geometry (PBE, the Alexandria database).

The structure belongs to space group P4/mmm (No. 123); the cell edges are 4.2550, 4.2550 and 5.1273 Å and the angles 90.00°, 90.00° and 90.00°. The asymmetric unit holds Mg at (0.0000, 0.0000, 0.0000), Ni at (0.5000, 0.5000, 0.5000), P at (0.0000, 0.5000, 0.5000) and S at (0.5000, 0.5000, 0.0000).

The uncorrected formation energy is 1.255 eV per formula unit.

(3)
# CaPm2Er3Se6

Crystalline CaPm2Er3Se6 at its relaxed geometry (PBE, the Alexandria database).

The structure belongs to space group C2/m (No. 12); the cell edges are 17.9884, 4.0859 and 8.2961 Å and the angles 90.00°, 103.78° and 90.00°. The asymmetric unit holds Ca at (0.0000, 0.0000, 0.0000), Pm at (0.1720, 0.5000, 0.3427), Er at (0.0000, 0.0000, 0.5000), Er at (0.1693, 0.5000, 0.8291), Se at (0.0021, 0.5000, 0.7469), Se at (0.1606, 0.0000, 0.5911) and Se at (0.1669, 0.0000, 0.0731).

The uncorrected formation energy is -21.621 eV per formula unit.

(4)
# Ba2PmSn7

Crystalline Ba2PmSn7 at its relaxed geometry (PBE, the Alexandria database).

The structure belongs to space group P-4m2 (No. 115); the cell edges are 4.9494, 4.9494 and 13.7719 Å and the angles 90.00°, 90.00° and 90.00°. The asymmetric unit holds Ba at (0.0000, 0.5000, 0.2388), Pm at (0.0000, 0.0000, 0.5000), Sn at (0.0000, 0.0000, 0.0000), Sn at (0.0000, 0.5000, 0.6504), Sn at (0.0000, 0.5000, 0.8684), Sn at (0.5000, 0.5000, 0.0000) and Sn at (0.5000, 0.5000, 0.5000).

The formation energy from the elements is -0.432 eV/atom.

(5)
# Fe3HgOs

Crystalline Fe3HgOs at its relaxed geometry (PBE, the Alexandria database).

The structure belongs to space group Pm-3m (No. 221); the cell edges are 4.5986, 4.5986 and 4.5986 Å and the angles 90.00°, 90.00° and 90.00°. The asymmetric unit holds Fe at (0.0000, 0.0000, 0.5000), Hg at (0.5000, 0.5000, 0.5000) and Os at (0.0000, 0.0000, 0.0000).

The formation energy from the elements is 1.358 eV/atom.

(6)
# Nd2SmCu3

Crystalline Nd2SmCu3 at its relaxed geometry (PBE, the Alexandria database).

The structure belongs to space group Cmmm (No. 65); the cell edges are 5.0394, 15.1246 and 7.2273 Å and the angles 90.00°, 90.00° and 90.00°. The asymmetric unit holds Nd at (0.0000, 0.0000, 0.0000), Nd at (0.0000, 0.0000, 0.5000), Nd at (0.0000, 0.3337, 0.0000), Sm at (0.0000, 0.3329, 0.5000), Cu at (0.0000, 0.1686, 0.2560) and Cu at (0.0000, 0.5000, 0.2550).

The formation energy from the elements is -0.151 eV/atom.

(7)
# CeAlZnPd2

Crystalline CeAlZnPd2 at its relaxed geometry (PBE, the Alexandria database).

The structure belongs to space group Cmme (No. 67); the cell edges are 5.3503, 13.1022 and 5.5478 Å and the angles 90.00°, 90.00° and 90.00°. The asymmetric unit holds Ce at (0.0000, 0.2500, 0.2166), Al at (0.2500, 0.0000, 0.5000), Zn at (0.0000, 0.0000, 0.0000) and Pd at (0.0000, 0.1448, 0.6916).

The formation energy from the elements is -0.542 eV/atom.

(8)
# Al2V5Cr2Fe

Crystalline Al2V5Cr2Fe at its relaxed geometry (PBE, the Alexandria database).

The structure belongs to space group P4/mbm (No. 127); the cell edges are 9.6780, 9.6780 and 2.9318 Å and the angles 90.00°, 90.00° and 90.00°. The asymmetric unit holds Al at (0.1713, 0.3287, 0.0000), V at (0.0000, 0.5000, 0.5000), V at (0.0681, 0.8096, 0.5000), Cr at (0.1321, 0.6321, 0.0000) and Fe at (0.0000, 0.0000, 0.0000).

The formation energy from the elements is 0.106 eV/atom.

(9)
# InSnCl3

Crystalline InSnCl3 at its relaxed geometry (PBE, the Alexandria database).

The structure belongs to space group C2/c (No. 15); the cell edges are 13.4399, 16.1527 and 6.8414 Å and the angles 90.00°, 109.52° and 90.00°. The asymmetric unit holds In at (0.1122, 0.1046, 0.1020), Sn at (0.0000, 0.2741, 0.7500), Sn at (0.0000, 0.4118, 0.2500), Cl at (0.1162, 0.0644, 0.5108), Cl at (0.1194, 0.3023, 0.4866) and Cl at (0.1219, 0.3866, 0.9838).

The uncorrected formation energy is -4.504 eV per formula unit.

(10)
# BeCuOs2

Crystalline BeCuOs2 at its relaxed geometry (PBE, the Alexandria database).

The structure belongs to space group P4mm (No. 99); the cell edges are 2.7574, 2.7574 and 6.4235 Å and the angles 90.00°, 90.00° and 90.00°. The asymmetric unit holds Be at (0.0000, 0.0000, 0.0000), Cu at (0.5000, 0.5000, 0.1953), Os at (0.0000, 0.0000, 0.4886) and Os at (0.5000, 0.5000, 0.7623).

The formation energy from the elements is -0.003 eV/atom.

(11)
# SrZr3Cr

Crystalline SrZr3Cr at its relaxed geometry (PBE, the Alexandria database).

The structure belongs to space group Pm-3m (No. 221); the cell edges are 5.0774, 5.0774 and 5.0774 Å and the angles 90.00°, 90.00° and 90.00°. The asymmetric unit holds Sr at (0.0000, 0.0000, 0.0000), Zr at (0.0000, 0.5000, 0.5000) and Cr at (0.5000, 0.5000, 0.5000).

The formation energy from the elements is 0.506 eV/atom.

(12)
# Nd2TmPt

Crystalline Nd2TmPt at its relaxed geometry (PBE, the Alexandria database).

The structure belongs to space group Cmm2 (No. 35); the cell edges are 5.0732, 5.0844 and 8.7684 Å and the angles 90.00°, 90.00° and 90.00°. The asymmetric unit holds Nd at (0.0000, 0.0000, 0.0000), Nd at (0.0000, 0.5000, 0.3123), Tm at (0.0000, 0.5000, 0.6930) and Pt at (0.0000, 0.0000, 0.5303).

The formation energy from the elements is -0.573 eV/atom.

Here are the calculated E_tot numbers, same order: -88.08 -21.07 -135.44 -40.94 -30.13 -109.81 -96.19 -159.46 -134.28 -30.29 -34.42 -44.68 (eV for the cell shown).
Here are the calculated calculated volume numbers, same order: 33.545 18.566 24.675 33.737 19.450 22.952 19.445 13.730 34.995 12.210 26.180 28.272 (A^3/atom).